# PrErCdOs, relaxed, DFT PBE
data_PrErCdOs
_chemical_formula_sum 'Pr4 Er4 Cd4 Os4'
_cell_length_a 7.212
_cell_length_b 7.212
_cell_length_c 7.212
_cell_angle_alpha 90.00
_cell_angle_beta 90.00
_cell_angle_gamma 90.00
_symmetry_space_group_name_H-M 'F -4 3 m'
_symmetry_Int_Tables_number 216
_symmetry_space_group_name_Hall 'F -4 2 3'
loop_
_atom_site_label
_atom_site_type_symbol
_atom_site_fract_x
_atom_site_fract_y
_atom_site_fract_z
Pr1 Pr 0.000 0.000 0.000
Er1 Er 0.000 0.000 0.500
Cd1 Cd 0.250 0.250 0.750
Os1 Os 0.250 0.250 0.250
# Calculated volume = 23.45 Å³/atom
# Density = 10.8 g/cm³
# VASP energy = -0.4028 Ry per atom
# DFT formation energy = -108 meV per atom